# 1
First-principles (PBE-GGA) data for crystalline PtS5Cl at its relaxed geometry, as listed in Alexandria via LeMat-Bulk.

Cell and atoms, written as POSCAR:
```
PtS5Cl
1.0
5.930 0.000 0.000
-1.127 5.876 0.000
-0.948 -1.044 6.621
Pt S Cl
1 5 1
Cartesian
0.000 0.000 0.000
-0.282 1.804 1.326
1.090 3.132 0.490
0.634 4.979 1.197
2.225 5.050 4.963
3.334 3.410 4.852
0.348 1.450 3.334
```

Summary:
- Total magnetization: 0.1423 μB/atom
- Energy relative to the elements, uncorrected: -3 kJ/mol of formula units
- VASP energy: -28.56 eV per cell

# 2
First-principles (PBE-GGA) data for crystalline Pt3SCl at its relaxed geometry, as listed in Alexandria via LeMat-Bulk.

Cell and atoms, written as POSCAR:
```
Pt3SCl
1.0
4.575 0.000 0.000
0.000 4.575 0.000
0.000 0.000 4.575
Pt S Cl
3 1 1
Cartesian
0.000 0.000 2.288
0.000 2.288 0.000
2.288 0.000 0.000
0.000 0.000 0.000
2.288 2.288 2.288
```

Summary:
- Total magnetization: 0.0000 μB/atom
- Excess energy over the best structure of this formula in the dataset: 0.0000 eV/atom
- Energy relative to the elements, uncorrected: 291 kJ/mol of formula units
- VASP energy: -21.08 eV per cell

# 3
First-principles (PBE-GGA) data for crystalline PtS4Cl at its relaxed geometry, as listed in Alexandria via LeMat-Bulk.

Cell and atoms, written as POSCAR:
```
PtS4Cl
1.0
4.778 -5.463 0.000
4.778 5.463 0.000
-1.264 0.000 5.839
Pt S Cl
2 8 2
Cartesian
3.830 4.275 4.380
4.462 -4.275 1.460
-0.250 0.979 5.123
8.543 -0.979 0.716
0.382 -0.979 2.203
3.153 2.074 3.670
4.508 2.074 5.089
3.785 -2.074 0.750
5.140 -2.074 2.169
7.911 0.979 3.636
4.462 1.480 1.460
3.830 -1.480 4.380
```

Summary:
- Total magnetization: 0.0000 μB/atom
- Energy relative to the elements, uncorrected: 30 kJ/mol of formula units
- VASP energy: -48.16 eV per cell

# 4
First-principles (PBE-GGA) data for crystalline PtS2Cl at its relaxed geometry, as listed in Alexandria via LeMat-Bulk.

Cell and atoms, written as POSCAR:
```
PtS2Cl
1.0
0.000 3.180 3.180
3.180 0.000 3.180
3.180 3.180 0.000
Pt S Cl
1 2 1
Cartesian
0.000 0.000 0.000
1.590 1.590 1.590
4.771 4.771 4.771
3.180 3.180 3.180
```

Summary:
- Total magnetization: 0.0000 μB/atom
- Excess energy over the best structure of this formula in the dataset: 1.0613 eV/atom
- Energy relative to the elements, uncorrected: 308 kJ/mol of formula units
- VASP energy: -12.95 eV per cell

- energy relative to the elements, uncorrected of number 2 (Pt3SCl)?
  291 kJ/mol of formula units

Repeat the third record exactly.
First-principles (PBE-GGA) data for crystalline PtS4Cl at its relaxed geometry, as listed in Alexandria via LeMat-Bulk.

Cell and atoms, written as POSCAR:
```
PtS4Cl
1.0
4.778 -5.463 0.000
4.778 5.463 0.000
-1.264 0.000 5.839
Pt S Cl
2 8 2
Cartesian
3.830 4.275 4.380
4.462 -4.275 1.460
-0.250 0.979 5.123
8.543 -0.979 0.716
0.382 -0.979 2.203
3.153 2.074 3.670
4.508 2.074 5.089
3.785 -2.074 0.750
5.140 -2.074 2.169
7.911 0.979 3.636
4.462 1.480 1.460
3.830 -1.480 4.380
```

Summary:
- Total magnetization: 0.0000 μB/atom
- Energy relative to the elements, uncorrected: 30 kJ/mol of formula units
- VASP energy: -48.16 eV per cell